First-principles (GGA-PBE) data for a relaxed CsSrMn2Br8 crystal, as listed in Alexandria.

```
CsSrMn2Br8
1.0
7.121 0.000 0.000
-3.561 6.167 0.000
0.000 0.000 10.503
Br Mn Cs Sr
8 2 1 1
Direct
0.662 0.000 0.317
0.000 0.338 0.683
0.000 0.662 0.317
0.667 0.333 0.024
0.338 0.338 0.317
0.338 0.000 0.683
0.662 0.662 0.683
0.333 0.667 0.976
0.667 0.333 0.251
0.333 0.667 0.749
0.000 0.000 0.000
0.000 0.000 0.500
```

Properties
raw formation energy: -14.583 eV per formula unit
E_tot: -48.84 eV for the cell shown
D(E_F): 14.43 states/eV/cell
space-group type: P-3 (147)

---

First-principles (GGA-PBE) data for a relaxed NaGe2Os2 crystal, as listed in Alexandria.

```
NaGe2Os2
1.0
-1.239 -2.028 7.040
-6.990 -1.812 -1.752
0.847 -2.667 -0.619
Os Ge Na
4 4 2
Direct
0.355 0.145 0.500
0.145 0.645 0.500
0.645 0.855 0.500
0.855 0.355 0.500
0.149 0.351 0.000
0.649 0.149 0.000
0.351 0.851 0.000
0.851 0.649 0.000
0.500 0.500 0.000
0.000 0.000 0.000
```

Properties
E_tot: -64.29 eV for the cell shown
D(E_F): 2.90 states/eV/cell
space-group type: P4/mbm (127)
energy of formation from the pure elements: 173.4 meV per atom

---

First-principles (GGA-PBE) data for a relaxed KTl2PS4 crystal, as listed in Alexandria.

```
KTl2PS4
1.0
9.514 -0.052 -0.370
-0.152 7.869 0.742
-4.820 -3.310 6.103
S P Tl K
8 2 4 2
Direct
0.262 0.262 0.874
0.766 0.102 0.115
0.339 0.297 0.424
0.329 0.790 0.042
0.686 0.647 0.854
0.244 0.799 0.494
0.754 0.976 0.689
0.729 0.340 0.500
0.557 0.488 0.508
0.843 0.920 0.954
0.593 0.550 0.167
0.943 0.952 0.473
0.412 0.981 0.417
0.411 0.003 0.913
0.029 0.422 0.010
0.104 0.470 0.565
```

Properties
raw formation energy: -3.311 eV per formula unit
E_tot: -62.12 eV for the cell shown
space-group type: P1 (1)